# meta-GGA SCAN Ba2CdP4H6O16, PBEsol geometry
# - Space group: P2_1/c (14)
# - Total DFT energy (no corrections): -11.5772 eV/atom
# - Size of the total moment: 0.000 Bohr magnetons per cell
data_Ba2CdP4H6O16
_symmetry_space_group_name_H-M 'P 1'
_symmetry_Int_Tables_number 1
_cell_length_a 5.444
_cell_length_b 10.197
_cell_length_c 12.177
_cell_angle_alpha 90.00
_cell_angle_beta 100.07
_cell_angle_gamma 90.00
loop_
_symmetry_equiv_pos_as_xyz
'x,y,z'
loop_
_atom_site_label
_atom_site_type_symbol
_atom_site_fract_x
_atom_site_fract_y
_atom_site_fract_z
_atom_site_occupancy
Ba1 Ba 0.144 0.343 0.828 1
Ba2 Ba 0.856 0.843 0.672 1
Ba3 Ba 0.144 0.157 0.328 1
Ba4 Ba 0.856 0.657 0.172 1
H1 H 0.371 0.676 0.760 1
H2 H 0.629 0.176 0.740 1
H3 H 0.568 0.827 0.935 1
H4 H 0.568 0.673 0.435 1
H5 H 0.432 0.327 0.565 1
H6 H 0.432 0.173 0.065 1
H7 H 0.299 0.539 0.070 1
H8 H 0.701 0.461 0.930 1
H9 H 0.629 0.324 0.240 1
H10 H 0.299 0.961 0.570 1
H11 H 0.371 0.824 0.260 1
H12 H 0.701 0.039 0.430 1
P1 P 0.589 0.989 0.201 1
P2 P 0.761 0.300 0.054 1
P3 P 0.239 0.800 0.446 1
P4 P 0.411 0.011 0.799 1
P5 P 0.761 0.200 0.554 1
P6 P 0.411 0.489 0.299 1
P7 P 0.589 0.511 0.701 1
P8 P 0.239 0.700 0.946 1
O1 O 0.631 0.558 0.377 1
O2 O 0.834 0.989 0.156 1
O3 O 0.520 0.659 0.717 1
O4 O 0.834 0.511 0.656 1
O5 O 0.166 0.011 0.844 1
O6 O 0.833 0.200 0.681 1
O7 O 0.623 0.440 0.815 1
O8 O 0.480 0.341 0.283 1
O9 O 0.761 0.051 0.517 1
O10 O 0.377 0.560 0.185 1
O11 O 0.480 0.159 0.783 1
O12 O 0.520 0.744 0.980 1
O13 O 0.166 0.489 0.344 1
O14 O 0.068 0.778 0.008 1
O15 O 0.932 0.222 0.992 1
O16 O 0.239 0.551 0.983 1
O17 O 0.631 0.942 0.877 1
O18 O 0.520 0.841 0.217 1
O19 O 0.520 0.756 0.480 1
O20 O 0.167 0.800 0.319 1
O21 O 0.369 0.058 0.123 1
O22 O 0.833 0.300 0.181 1
O23 O 0.480 0.244 0.520 1
O24 O 0.377 0.940 0.685 1
O25 O 0.369 0.442 0.623 1
O26 O 0.932 0.278 0.492 1
O27 O 0.167 0.700 0.819 1
O28 O 0.623 0.060 0.315 1
O29 O 0.761 0.449 0.017 1
O30 O 0.068 0.722 0.508 1
O31 O 0.480 0.256 0.020 1
O32 O 0.239 0.949 0.483 1
Cd1 Cd 0.000 0.500 0.500 1
Cd2 Cd 0.000 0.000 0.000 1